Material: PmSnBr2
Method: DFT, PBE-GGA
State: relaxed

a b c (Å): 11.002 11.002 11.002
angles (deg): 19.63 19.63 19.63
Sites, in units of the cell vectors:
Pm  0.000  0.000  0.000
Sn  0.500  0.500  0.500
Br  0.086  0.086  0.086
Br  0.914  0.914  0.914

Properties
**ΔE_f (raw)**: -0.56 eV/atom
**Total magnetization**: 0.0 Bohr magnetons per cell
**SG**: No. 166
**Electronic total energy**: -3.5893 eV per atom
**D(E_F)**: 1.6 states/eV/f.u.